[1]
Density functional theory data (PBE) for a geometry-optimized Nd2Ho3TmAs6 structure.

Properties
- formation energy (meV per atom) = -1508
- electronic total energy (eV per atom) = -6.1440
- space group = No. 12

Cell lengths 9.2850, 9.2850, 8.3048 Å; angles 102.92, 102.92, 25.86 degrees
With the nearest neighbours (Å) after each atom.
Element x y z (fractional)
1 Nd 0.1655 0.1655 0.3316  6 As 2.97-3.00
2 Nd 0.8345 0.8345 0.6684  6 As 2.97-3.00
3 Ho 0.1673 0.1673 0.8341  6 As 2.89-2.94
4 Ho 0.5000 0.5000 0.5000  6 As 2.90-2.95
5 Ho 0.8327 0.8327 0.1659  6 As 2.89-2.94
6 Tm 0.5000 0.5000 0.0000  6 As 2.92-2.93
7 As 0.0030 0.0030 0.7535  3 Ho 2.90-2.95, 2 Tm 2.93, 1 Nd 2.97
8 As 0.3344 0.3344 0.9248  3 Ho 2.89-2.94, 1 Tm 2.92, 2 Nd 2.98
9 As 0.3357 0.3357 0.4108  3 Ho 2.90, 3 Nd 2.99-3.00
10 As 0.6643 0.6643 0.5892  3 Ho 2.90, 3 Nd 2.99-3.00
11 As 0.6656 0.6656 0.0752  3 Ho 2.89-2.94, 1 Tm 2.92, 2 Nd 2.98
12 As 0.9970 0.9970 0.2465  3 Ho 2.90-2.95, 2 Tm 2.93, 1 Nd 2.97

---

[2]
Density functional theory data (PBE) for a geometry-optimized YbFeSi structure.

Properties
- formation energy without anion corrections (eV per atom) = -0.496
- electronic total energy (eV per atom) = -5.6329
- space group = No. 129

Cell lengths 4.0819, 4.0819, 6.4920 Å; angles 90.00, 90.00, 90.00 degrees
With the nearest neighbours (Å) after each atom.
Element x y z (fractional)
1 Yb 0.2500 0.2500 0.1859  4 Fe 2.88, 5 Si 3.04-3.12
2 Yb 0.7500 0.7500 0.8141  4 Fe 2.88, 5 Si 3.04-3.12
3 Fe 0.2500 0.7500 0.5000  4 Si 2.31
4 Fe 0.7500 0.2500 0.5000  4 Si 2.31
5 Si 0.2500 0.2500 0.6658  4 Fe 2.31
6 Si 0.7500 0.7500 0.3342  4 Fe 2.31

---

[3]
Density functional theory data (PBE) for a geometry-optimized In2AgSn2 structure.

Properties
- formation energy (meV per atom) = 128
- electronic total energy (eV per atom) = -3.1390
- space group = No. 127

Cell lengths 7.3675, 7.3675, 4.8833 Å; angles 90.00, 90.00, 90.00 degrees
With the nearest neighbours (Å) after each atom.
Element x y z (fractional)
1 In 0.1470 0.3530 0.0000  2 Ag 2.82, 1 In 3.06, 2 Sn 3.15
2 In 0.3530 0.8530 0.0000  2 Ag 2.82, 1 In 3.06, 2 Sn 3.15
3 In 0.6470 0.1470 0.0000  2 Ag 2.82, 1 In 3.06, 2 Sn 3.15
4 In 0.8530 0.6470 0.0000  2 Ag 2.82, 1 In 3.06, 2 Sn 3.15
5 Ag 0.0000 0.0000 0.0000  4 In 2.82
6 Ag 0.5000 0.5000 0.0000  4 In 2.82
7 Sn 0.1622 0.6622 0.5000  6 In 3.15-3.34, 1 Sn 3.38
8 Sn 0.3378 0.1622 0.5000  6 In 3.15-3.34, 1 Sn 3.38
9 Sn 0.6622 0.8378 0.5000  6 In 3.15-3.34, 1 Sn 3.38
10 Sn 0.8378 0.3378 0.5000  6 In 3.15-3.34, 1 Sn 3.38

---

[4]
Density functional theory data (PBE) for a geometry-optimized Pa2TcSn structure.

Properties
- formation energy (meV per atom) = 41
- electronic total energy (eV per atom) = -8.2994
- space group = No. 166

Cell lengths 4.6696, 4.6696, 15.2593 Å; angles 90.00, 90.00, 120.00 degrees
With the nearest neighbours (Å) after each atom.
Element x y z (fractional)
1 Pa 0.0000 0.0000 0.2356  3 Tc 2.89, 3 Sn 3.08
2 Pa 0.0000 0.0000 0.7644  3 Tc 2.89, 3 Sn 3.08
3 Pa 0.3333 0.6667 0.4310  3 Tc 2.89, 3 Sn 3.08
4 Pa 0.3333 0.6667 0.9023  3 Tc 2.89, 3 Sn 3.08
5 Pa 0.6667 0.3333 0.0977  3 Tc 2.89, 3 Sn 3.08
6 Pa 0.6667 0.3333 0.5690  3 Tc 2.89, 3 Sn 3.08
7 Tc 0.0000 0.0000 0.5000  6 Pa 2.89
8 Tc 0.3333 0.6667 0.1667  6 Pa 2.89
9 Tc 0.6667 0.3333 0.8333  6 Pa 2.89
10 Sn 0.0000 0.0000 0.0000  6 Pa 3.08
11 Sn 0.3333 0.6667 0.6667  6 Pa 3.08
12 Sn 0.6667 0.3333 0.3333  6 Pa 3.08